Entry 1:
Entry from Alexandria via LeMat-Bulk: a relaxed Li2Nd2DyTl2 crystal (GGA-PBE).

Summary:
space-group type: R-3m (166)
Fermi-level density of states: 0.843 states/eV per atom
total magnetic moment: 0.00 Bohr magnetons per cell

abc: 4.8649 4.8649 9.5610
angles: 75.26 75.26 60.00
Last column: nearest neighbours and their distance in Å.
Fractional coordinates of all 7 atoms:
Li  0.3904  0.3904  0.8287  3 Tl 2.82
Li  0.6096  0.6096  0.1713  3 Tl 2.82
Nd  0.1262  0.1262  0.6213  3 Tl 3.25, 3 Li 3.39, 1 Dy 3.46, 3 Nd 3.58
Nd  0.8738  0.8738  0.3787  3 Tl 3.25, 3 Li 3.39, 1 Dy 3.46, 3 Nd 3.58
Dy  0.0000  0.0000  0.0000  6 Li 3.22, 6 Tl 3.36, 2 Nd 3.46
Tl  0.2664  0.2664  0.2009  3 Li 2.82
Tl  0.7336  0.7336  0.7991  3 Li 2.82



Entry 2:
Entry from Alexandria via LeMat-Bulk: a relaxed Ac2AlAu2 crystal (GGA-PBE).

Summary:
space-group type: Ibam (72)
Fermi-level density of states: 0.936 states/eV per atom
total magnetic moment: 0.00 Bohr magnetons per cell

abc: 6.4266 7.3076 7.9828
angles: 117.24 113.74 90.00
Last column: nearest neighbours and their distance in Å.
Fractional coordinates of all 10 atoms:
Ac  0.3512  0.0262  0.7024  5 Au 3.14-3.33, 2 Al 3.43
Ac  0.1488  0.3238  0.2976  5 Au 3.14-3.33, 2 Al 3.43
Ac  0.8512  0.6762  0.7024  5 Au 3.14-3.33, 2 Al 3.43
Ac  0.6488  0.9738  0.2976  5 Au 3.14-3.33, 2 Al 3.43
Au  0.3949  0.6239  0.7897  2 Al 2.67
Au  0.1051  0.8342  0.2103  2 Al 2.67
Au  0.8949  0.1658  0.7897  2 Al 2.67
Au  0.6051  0.3761  0.2103  2 Al 2.67
Al  0.2500  0.5000  0.0000  4 Au 2.67
Al  0.7500  0.5000  0.0000  4 Au 2.67



Entry 3:
Entry from Alexandria via LeMat-Bulk: a relaxed LaMgAs2 crystal (GGA-PBE).

Summary:
space-group type: Immm (71)
Fermi-level density of states: 0.366 states/eV per atom
total magnetic moment: 0.00 Bohr magnetons per cell

abc: 5.0886 5.0886 5.0886
angles: 125.08 109.62 95.14
Last column: nearest neighbours and their distance in Å.
Fractional coordinates of all 4 atoms:
As  0.4688  0.4688  0.0000  2 Mg 2.79, 1 As 3.00, 2 La 3.04
As  0.0312  0.0312  0.0000  2 Mg 2.79, 1 As 3.00, 2 La 3.04
Mg  0.2500  0.7500  0.5000  4 As 2.79
La  0.7500  0.2500  0.5000  8 As 3.04-3.29



no.,energy (eV per cell)
1,-24.0
2,-43.5
3,-19.0